SrSc2Mn: optimized geometry, PBE.

Computed properties:
**Total DFT energy (no corrections)**: -0.1986 Ha/atom

Unit cell a=4.5627 b=4.5627 c=4.9883 alpha=90.00 beta=90.00 gamma=90.00
Fractional positions:
1 Sr 0.0000 0.0000 0.0000
2 Sc 0.0000 0.5000 0.5000
3 Sc 0.5000 0.0000 0.5000
4 Mn 0.5000 0.5000 0.0000



TaFe4Tc: optimized geometry, PBE.

Computed properties:
**Total DFT energy (no corrections)**: -0.3468 Ha/atom

Unit cell a=4.7559 b=4.7559 c=4.7559 alpha=60.00 beta=60.00 gamma=60.00
Fractional positions:
1 Ta 0.0000 0.0000 0.0000
2 Fe 0.3754 0.3754 0.3754
3 Fe 0.3754 0.3754 0.8737
4 Fe 0.3754 0.8737 0.3754
5 Fe 0.8737 0.3754 0.3754
6 Tc 0.7500 0.7500 0.7500



In the order shown, the computed total magnetization values come out to 2.51, 7.06 μB per cell.